Entry 1:
YRu2W after structural relaxation. Source: the Alexandria database, functional PBE.

Cell: 5.3945 5.3945 5.3945 Å, 137.94 137.94 60.99°
Last column: nearest neighbours and their distance in Å.
Atoms (fractional coordinates):
Y: 0.7500 0.2500 0.5000  8 Ru 2.74-3.02, 4 W 3.02
Ru: 0.2500 0.7500 0.5000  4 Y 2.74, 4 W 3.02, 4 Ru 3.02
Ru: 0.0000 0.0000 0.0000  4 W 2.74, 4 Ru 3.02, 4 Y 3.02
W: 0.5000 0.5000 0.0000  8 Ru 2.74-3.02, 4 Y 3.02

Summary:
- electronic total energy (eV per atom) = -9.158
- energy above the most stable polymorph in this dataset (meV per atom) = 417.8

=====

Entry 2:
SnI2O2 after structural relaxation. Source: the Alexandria database, functional PBE.

Cell: 5.9438 5.9438 3.9678 Å, 90.00 90.00 90.00°
Last column: nearest neighbours and their distance in Å.
Atoms (fractional coordinates):
I: 0.5000 0.0000 0.0000  2 Sn 2.97
I: 0.0000 0.5000 0.0000  2 Sn 2.97
O: 0.0000 0.0000 0.5000  2 Sn 1.98
O: 0.5000 0.5000 0.5000  8 I 3.57, 2 O 3.97
Sn: 0.0000 0.0000 0.0000  2 O 1.98

Summary:
- electronic total energy (eV per atom) = -3.171
- energy above the most stable polymorph in this dataset (meV per atom) = 468.7

=====

Entry 3:
Mn2FeTc after structural relaxation. Source: the Alexandria database, functional PBE.

Cell: 4.4514 4.4514 4.4390 Å, 80.04 80.04 33.75°
Last column: nearest neighbours and their distance in Å.
Atoms (fractional coordinates):
Tc: 0.5020 0.5020 0.4938  7 Mn 2.55-2.64, 3 Fe 2.55-2.59, 2 Tc 2.58
Fe: 0.2555 0.2555 0.2406  7 Mn 2.49-2.65, 3 Tc 2.55-2.59, 2 Fe 2.58
Mn: 0.7449 0.7449 0.7655  4 Fe 2.49-2.65, 5 Mn 2.53-2.58, 3 Tc 2.58-2.64
Mn: 0.9977 0.9977 0.0001  3 Fe 2.50-2.61, 5 Mn 2.53-2.58, 4 Tc 2.55-2.59

Summary:
- electronic total energy (eV per atom) = -9.172

=====

Entry 4:
CsCaTeHAu after structural relaxation. Source: the Alexandria database, functional PBE.

Cell: 4.2119 4.2119 8.1693 Å, 90.00 90.00 90.00°
Last column: nearest neighbours and their distance in Å.
Atoms (fractional coordinates):
Au: 0.0000 0.0000 0.5310  1 H 1.64
Te: 0.0000 0.0000 0.2002  1 Au 2.70
Ca: 0.5000 0.5000 0.3676  4 Au 3.26, 4 Te 3.28
H: 0.0000 0.0000 0.7312  1 Au 1.64
Cs: 0.5000 0.5000 0.8665  4 H 3.18

Summary:
- electronic total energy (eV per atom) = -3.194
- energy above the most stable polymorph in this dataset (meV per atom) = 26.7

=====

Entry 5:
Pm12Y6Tm after structural relaxation. Source: the Alexandria database, functional PBE.

Cell: 8.7853 8.7853 8.7853 Å, 97.72 97.72 97.72°
Last column: nearest neighbours and their distance in Å.
Atoms (fractional coordinates):
Pm: 0.7377 0.0000 0.2623  4 Y 3.40-3.57, 6 Pm 3.47-3.65, 1 Tm 3.47
Pm: 0.4142 0.8325 0.4142  5 Pm 3.20-3.53
Pm: 0.0000 0.7377 0.2623  4 Y 3.40-3.57, 6 Pm 3.47-3.65, 1 Tm 3.47
Pm: 0.4142 0.4142 0.8325  5 Pm 3.20-3.53
Pm: 0.0000 0.2623 0.7377  4 Y 3.40-3.57, 6 Pm 3.47-3.65, 1 Tm 3.47
Pm: 0.1675 0.5858 0.5858  5 Pm 3.20-3.53
Pm: 0.7377 0.2623 0.0000  4 Y 3.40-3.57, 1 Tm 3.47, 6 Pm 3.47-3.65
Pm: 0.2623 0.7377 0.0000  4 Y 3.40-3.57, 1 Tm 3.47, 6 Pm 3.47-3.65
Pm: 0.5858 0.5858 0.1675  5 Pm 3.20-3.53
Pm: 0.5858 0.1675 0.5858  5 Pm 3.20-3.53
Pm: 0.2623 0.0000 0.7377  4 Y 3.40-3.57, 6 Pm 3.47-3.65, 1 Tm 3.47
Pm: 0.8325 0.4142 0.4142  5 Pm 3.20-3.53
Y: 0.1391 0.1392 0.4074  4 Pm 3.40-3.57, 2 Y 3.55, 1 Tm 3.61
Y: 0.4074 0.1391 0.1392  4 Pm 3.40-3.57, 2 Y 3.55, 1 Tm 3.61
Y: 0.8609 0.8608 0.5926  4 Pm 3.40-3.57, 2 Y 3.55, 1 Tm 3.61
Y: 0.5926 0.8609 0.8608  4 Pm 3.40-3.57, 2 Y 3.55, 1 Tm 3.61
Y: 0.1392 0.4074 0.1391  4 Pm 3.40-3.57, 2 Y 3.55, 1 Tm 3.61
Y: 0.8608 0.5926 0.8609  4 Pm 3.40-3.57, 2 Y 3.55, 1 Tm 3.61
Tm: 0.0000 0.0000 0.0000  6 Pm 3.47, 6 Y 3.61

Summary:
- electronic total energy (eV per atom) = -5.158
- energy above the most stable polymorph in this dataset (meV per atom) = 0.0

=====

Entry 6:
InSbPbAu after structural relaxation. Source: the Alexandria database, functional PBE.

Cell: 5.2902 5.2902 5.2902 Å, 60.00 60.00 60.00°
Last column: nearest neighbours and their distance in Å.
Atoms (fractional coordinates):
Pb: 0.7500 0.7500 0.7500  4 Sb 3.24, 4 Au 3.24
Au: 0.0000 0.0000 0.0000  4 Pb 3.24, 4 In 3.24
Sb: 0.5000 0.5000 0.5000  4 In 3.24, 4 Pb 3.24
In: 0.2500 0.2500 0.2500  4 Au 3.24, 4 Sb 3.24

Summary:
- electronic total energy (eV per atom) = -3.416

=====

Entry 7:
NaSnI2 after structural relaxation. Source: the Alexandria database, functional PBE.

Cell: 6.3114 6.3344 8.7730 Å, 110.75 90.14 90.00°
Last column: nearest neighbours and their distance in Å.
Atoms (fractional coordinates):
Na: 0.4961 0.3286 0.6595  5 I 3.22
Na: 0.5039 0.6714 0.3405  5 I 3.22
I: 0.9969 0.3660 0.7381  2 Sn 3.21-3.24, 2 Na 3.22
I: 0.5027 0.1359 0.2677  3 Na 3.22, 2 Sn 3.22-3.23
I: 0.4973 0.8641 0.7323  3 Na 3.22, 2 Sn 3.22-3.23
I: 0.0031 0.6340 0.2619  2 Sn 3.21-3.24, 2 Na 3.22
Sn: 0.9981 0.9044 0.8113  1 Sn 3.10, 4 I 3.21-3.24
Sn: 0.0019 0.0956 0.1887  1 Sn 3.10, 4 I 3.21-3.24

Summary:
- electronic total energy (eV per atom) = -2.776
- energy above the most stable polymorph in this dataset (meV per atom) = 24.4

=====

Entry 8:
Pm8Ge3Te4O after structural relaxation. Source: the Alexandria database, functional PBE.

Cell: 8.4863 8.7382 8.4889 Å, 119.07 119.99 90.00°
Last column: nearest neighbours and their distance in Å.
Atoms (fractional coordinates):
Te: 0.5000 0.0000 0.5000  6 Pm 3.15-3.18
Te: 0.0000 0.0000 0.5000  6 Pm 3.15-3.18
Te: 0.5000 0.0000 0.0000  6 Pm 3.27-3.28
Te: 0.0000 0.0000 0.0000  6 Pm 3.15-3.18
Pm: 0.7677 0.2866 0.5353  1 O 2.83, 2 Ge 2.93
Pm: 0.2323 0.7134 0.4647  1 O 2.83, 2 Ge 2.93
Pm: 0.2314 0.7125 0.9810  1 O 2.82, 2 Ge 2.93
Pm: 0.7686 0.2875 0.0190  1 O 2.82, 2 Ge 2.93
Pm: 0.7496 0.7125 0.9810  1 O 2.82, 2 Ge 2.93
Pm: 0.7422 0.7266 0.4844  3 Ge 2.95, 3 Te 3.15
Pm: 0.2504 0.2875 0.0190  1 O 2.82, 2 Ge 2.93
Pm: 0.2578 0.2734 0.5156  3 Ge 2.95, 3 Te 3.15
Ge: 0.5000 0.5000 0.5000  6 Pm 2.93-2.95
Ge: 0.5000 0.5000 0.0000  6 Pm 2.93-2.95
Ge: 0.0000 0.5000 0.5000  6 Pm 2.93-2.95
O: 0.0000 0.5000 0.0000  6 Pm 2.82-2.83

Summary:
- electronic total energy (eV per atom) = -5.707

=====

Entry 9:
Ce4SiS2Cl after structural relaxation. Source: the Alexandria database, functional PBE.

Cell: 4.0796 7.0731 7.0126 Å, 70.45 90.00 90.00°
Last column: nearest neighbours and their distance in Å.
Atoms (fractional coordinates):
S: 0.5000 0.0000 0.5000  6 Ce 2.83
S: 0.0000 0.0000 0.0000  6 Ce 2.85
Ce: 0.0000 0.2390 0.2571  3 S 2.83-2.85, 1 Si 2.90, 2 Cl 2.93
Ce: 0.0000 0.7610 0.7429  3 S 2.83-2.85, 1 Si 2.90, 2 Cl 2.93
Ce: 0.5000 0.7584 0.2496  3 S 2.83-2.85, 2 Si 2.90, 1 Cl 2.92
Ce: 0.5000 0.2416 0.7504  3 S 2.83-2.85, 2 Si 2.90, 1 Cl 2.92
Si: 0.0000 0.5000 0.5000  6 Ce 2.90
Cl: 0.5000 0.5000 0.0000  6 Ce 2.92-2.93

Summary:
- electronic total energy (eV per atom) = -6.469

=====

Entry 10:
Ac6Tl3Ir after structural relaxation. Source: the Alexandria database, functional PBE.

Cell: 8.0570 10.2380 10.2380 Å, 103.68 90.00 90.00°
Last column: nearest neighbours and their distance in Å.
Atoms (fractional coordinates):
Ac: 0.6944 0.6331 0.6779  4 Tl 3.39-3.53
Ac: 0.1531 0.3986 0.9191  1 Ir 2.88
Ac: 0.1944 0.6779 0.6331  4 Tl 3.39-3.53
Ac: 0.1895 0.7622 0.2378  1 Ir 2.90
Ac: 0.2454 0.0072 0.9928  2 Ir 2.96-3.09
Ac: 0.7454 0.9928 0.0072  2 Ir 2.96-3.09
Ac: 0.6531 0.9191 0.3986  1 Ir 2.88
Ac: 0.1944 0.3669 0.3221  4 Tl 3.39-3.53
Ac: 0.6944 0.3221 0.3669  4 Tl 3.39-3.53
Ac: 0.6531 0.6014 0.0809  1 Ir 2.88
Ac: 0.1531 0.0809 0.6014  1 Ir 2.88
Ac: 0.6895 0.2378 0.7622  1 Ir 2.90
Tl: 0.9886 0.7083 0.9282  7 Ac 3.40-3.62
Tl: 0.8863 0.6195 0.3805  7 Ac 3.35-3.56
Tl: 0.4886 0.9282 0.7083  7 Ac 3.40-3.62
Tl: 0.4886 0.2917 0.0718  7 Ac 3.40-3.62
Tl: 0.9886 0.0718 0.2917  7 Ac 3.40-3.62
Tl: 0.3863 0.3805 0.6195  7 Ac 3.35-3.56
Ir: 0.9921 0.1401 0.8599  5 Ac 2.88-3.09
Ir: 0.4921 0.8599 0.1401  5 Ac 2.88-3.09

Summary:
- electronic total energy (eV per atom) = -4.244
- energy above the most stable polymorph in this dataset (meV per atom) = 144.9

=====

Entry 11:
CeEr4Pb5 after structural relaxation. Source: the Alexandria database, functional PBE.

Cell: 6.2935 7.7095 7.7095 Å, 80.41 65.91 65.91°
Last column: nearest neighbours and their distance in Å.
Atoms (fractional coordinates):
Pb: 0.6964 0.2043 0.4038  5 Er 3.13-3.15, 1 Ce 3.19
Pb: 0.3046 0.7957 0.5962  5 Er 3.13-3.15, 1 Ce 3.19
Pb: 0.5030 0.0000 0.0000  4 Er 3.14, 2 Ce 3.15
Pb: 0.1002 0.5962 0.2043  5 Er 3.13-3.15, 1 Ce 3.19
Pb: 0.9007 0.4038 0.7957  5 Er 3.13-3.15, 1 Ce 3.19
Er: 0.3987 0.4002 0.8036  6 Pb 3.13-3.15
Er: 0.2023 0.1964 0.4002  6 Pb 3.13-3.15
Er: 0.7989 0.8036 0.5998  6 Pb 3.13-3.15
Er: 0.6025 0.5998 0.1964  6 Pb 3.13-3.15
Ce: 0.0029 0.0000 0.0000  6 Pb 3.15-3.19

Summary:
- electronic total energy (eV per atom) = -4.560

=====

Entry 12:
ErTiAlCu after structural relaxation. Source: the Alexandria database, functional PBE.

Cell: 4.7323 4.7323 4.7323 Å, 60.00 60.00 60.00°
Last column: nearest neighbours and their distance in Å.
Atoms (fractional coordinates):
Cu: 0.5000 0.5000 0.5000  4 Er 2.90, 4 Ti 2.90
Er: 0.7500 0.7500 0.7500  4 Cu 2.90, 4 Al 2.90
Al: 0.0000 0.0000 0.0000  4 Er 2.90, 4 Ti 2.90
Ti: 0.2500 0.2500 0.2500  4 Al 2.90, 4 Cu 2.90

Summary:
- electronic total energy (eV per atom) = -5.216

=====

Entry 13:
Sc4InMo after structural relaxation. Source: the Alexandria database, functional PBE.

Cell: 5.6468 5.6468 5.6468 Å, 60.00 60.00 60.00°
Last column: nearest neighbours and their distance in Å.
Atoms (fractional coordinates):
Sc: 0.8810 0.3730 0.3730  6 Sc 2.78-2.87
Sc: 0.3730 0.3730 0.3730  6 Sc 2.78-2.87
Sc: 0.3730 0.8810 0.3730  6 Sc 2.78-2.87
Sc: 0.3730 0.3730 0.8810  6 Sc 2.78-2.87
In: 0.7500 0.7500 0.7500  12 Sc 3.32, 4 Mo 3.46
Mo: 0.0000 0.0000 0.0000  12 Sc 3.31, 4 In 3.46

Summary:
- electronic total energy (eV per atom) = -6.111

=====

Entry 14:
Rb3Tl4Au4 after structural relaxation. Source: the Alexandria database, functional PBE.

Cell: 5.1100 8.2727 9.4499 Å, 115.96 105.69 90.00°
Last column: nearest neighbours and their distance in Å.
Atoms (fractional coordinates):
Au: 0.5000 0.1773 0.0000  1 Au 2.93, 2 Tl 2.99
Au: 0.7784 0.2784 0.5568  6 Tl 3.04-3.13
Au: 0.2216 0.7216 0.4432  6 Tl 3.04-3.13
Au: 0.5000 0.8227 0.0000  1 Au 2.93, 2 Tl 2.99
Rb: 0.8808 0.8808 0.7616  6 Au 3.52-3.63, 6 Tl 3.69-3.74, 1 Rb 3.86
Rb: 0.1192 0.1192 0.2384  6 Au 3.52-3.63, 6 Tl 3.69-3.74, 1 Rb 3.86
Rb: 0.0000 0.5000 0.0000  6 Au 3.59-3.70
Tl: 0.3270 0.1310 0.6540  4 Au 2.99-3.13, 1 Tl 3.24
Tl: 0.6730 0.8690 0.3460  4 Au 2.99-3.13, 1 Tl 3.24
Tl: 0.3270 0.5231 0.6540  4 Au 2.99-3.13, 1 Tl 3.24
Tl: 0.6730 0.4769 0.3460  4 Au 2.99-3.13, 1 Tl 3.24

Summary:
- electronic total energy (eV per atom) = -2.521

=====

Entry 15:
Zr3Zn after structural relaxation. Source: the Alexandria database, functional PBE.

Cell: 3.1772 3.1772 9.9174 Å, 90.00 90.00 120.00°
Last column: nearest neighbours and their distance in Å.
Atoms (fractional coordinates):
Zr: 0.0000 0.0000 0.5000  12 Zr 3.16-3.18
Zr: 0.3333 0.6667 0.2402  3 Zn 3.01, 9 Zr 3.16-3.18
Zr: 0.3333 0.6667 0.7598  3 Zn 3.01, 9 Zr 3.16-3.18
Zn: 0.0000 0.0000 0.0000  6 Zr 3.01, 6 Zn 3.18

Summary:
- electronic total energy (eV per atom) = -6.722

=====

Entry 16:
CaLa2Ag after structural relaxation. Source: the Alexandria database, functional PBE.

Cell: 4.8417 6.5412 9.0492 Å, 90.00 90.00 111.72°
Last column: nearest neighbours and their distance in Å.
Atoms (fractional coordinates):
La: 0.6395 0.2797 0.4572  3 Ag 3.12-3.23, 1 La 3.49
La: 0.3605 0.7203 0.5428  3 Ag 3.12-3.23, 1 La 3.49
La: 0.3605 0.7203 0.9572  3 Ag 3.12-3.23, 1 La 3.49
La: 0.6395 0.2797 0.0428  3 Ag 3.12-3.23, 1 La 3.49
Ca: 0.0584 0.1168 0.7500  3 Ag 3.43-3.59, 4 La 3.72
Ca: 0.9416 0.8832 0.2500  3 Ag 3.43-3.59, 4 La 3.72
Ag: 0.2238 0.4478 0.2500  6 La 3.12-3.23, 1 Ca 3.43
Ag: 0.7762 0.5522 0.7500  6 La 3.12-3.23, 1 Ca 3.43

Summary:
- electronic total energy (eV per atom) = -3.753
- energy above the most stable polymorph in this dataset (meV per atom) = 15.7

=====

Entry 17:
NbZnB2N after structural relaxation. Source: the Alexandria database, functional PBE.

Cell: 3.6819 4.0756 3.6819 Å, 90.00 90.00 90.00°
Last column: nearest neighbours and their distance in Å.
Atoms (fractional coordinates):
Nb: 0.0000 0.5000 0.0000  2 N 2.04
B: 0.0000 0.0000 0.5000  2 N 1.84
B: 0.5000 0.0000 0.0000  2 N 1.84
N: 0.0000 0.0000 0.0000  4 B 1.84, 2 Nb 2.04
Zn: 0.5000 0.5000 0.5000  4 Nb 2.60, 8 B 2.75

Summary:
- electronic total energy (eV per atom) = -5.592

=====

Entry 18:
Ca2MgAgH after structural relaxation. Source: the Alexandria database, functional PBE.

Cell: 4.9003 4.9003 4.4484 Å, 90.00 90.00 90.00°
Last column: nearest neighbours and their distance in Å.
Atoms (fractional coordinates):
H: 0.0000 0.0000 0.0000  2 Mg 2.22, 4 Ca 2.45
Ag: 0.5000 0.5000 0.5000  8 Ca 3.31, 4 Mg 3.47
Ca: 0.5000 0.0000 0.0000  2 H 2.45
Ca: 0.0000 0.5000 0.0000  2 H 2.45
Mg: 0.0000 0.0000 0.5000  2 H 2.22

Summary:
- electronic total energy (eV per atom) = -2.586
- energy above the most stable polymorph in this dataset (meV per atom) = 0.0

=====

Entry 19:
K2SiW after structural relaxation. Source: the Alexandria database, functional PBE.

Cell: 3.4704 3.4704 10.3699 Å, 90.00 90.00 90.00°
Last column: nearest neighbours and their distance in Å.
Atoms (fractional coordinates):
W: 0.5000 0.5000 0.6444  4 Si 2.48
K: 0.5000 0.5000 0.3256  1 W 3.31, 4 K 3.47
K: 0.0000 0.0000 0.9196  1 Si 3.21, 4 K 3.47
Si: 0.0000 0.0000 0.6103  4 W 2.48

Summary:
- electronic total energy (eV per atom) = -4.579

=====

Entry 20:
ZnIrPd after structural relaxation. Source: the Alexandria database, functional PBE.

Cell: 2.7753 2.7753 11.9553 Å, 96.67 96.67 90.00°
Last column: nearest neighbours and their distance in Å.
Atoms (fractional coordinates):
Ir: 0.2888 0.2888 0.5776  8 Ir 2.68-2.78, 4 Zn 2.73
Ir: 0.7112 0.7112 0.4224  8 Ir 2.68-2.78, 4 Zn 2.73
Zn: 0.1306 0.1306 0.2613  4 Pd 2.64, 4 Ir 2.73, 4 Zn 2.78
Zn: 0.8694 0.8694 0.7387  4 Pd 2.64, 4 Ir 2.73, 4 Zn 2.78
Pd: 0.4440 0.4440 0.8880  4 Zn 2.64, 5 Pd 2.64-2.78
Pd: 0.5560 0.5560 0.1120  4 Zn 2.64, 5 Pd 2.64-2.78

Summary:
- electronic total energy (eV per atom) = -5.237
- energy above the most stable polymorph in this dataset (meV per atom) = 13.6